(1)
# Tl2Cd3Sb3 (GGA-PBEsol, optimized geometry)
# Volume ... 28.4 Å³/atom
# Density of states at the Fermi level ... 1.49 states/eV per cell
# E_form (uncorrected) ... -0.04 eV/atom
data_Tl2Cd3Sb3
_cell_length_a 4.893
_cell_length_b 8.858
_cell_length_c 11.767
_cell_angle_alpha 111.20
_cell_angle_beta 90.00
_cell_angle_gamma 106.03
_symmetry_space_group_name_H-M 'P 1'
_symmetry_Int_Tables_number 1
_symmetry_space_group_name_Hall 'P 1'
loop_
_atom_site_label
_atom_site_type_symbol
_atom_site_fract_x
_atom_site_fract_y
_atom_site_fract_z
_atom_site_occupancy
Sb1 Sb 0.089 0.178 0.529 1
Sb2 Sb 0.808 0.616 0.822 1
Sb3 Sb 0.531 0.062 0.809 1
Sb4 Sb 0.192 0.384 0.178 1
Sb5 Sb 0.469 0.938 0.191 1
Sb6 Sb 0.911 0.822 0.471 1
Cd1 Cd 0.942 0.885 0.727 1
Cd2 Cd 0.395 0.790 0.933 1
Cd3 Cd 0.635 0.269 0.659 1
Cd4 Cd 0.058 0.115 0.273 1
Cd5 Cd 0.365 0.731 0.341 1
Cd6 Cd 0.605 0.210 0.067 1
Tl1 Tl 0.311 0.622 0.612 1
Tl2 Tl 0.177 0.354 0.883 1
Tl3 Tl 0.689 0.378 0.388 1
Tl4 Tl 0.823 0.646 0.117 1

=====

(2)
# BaBPCl2 (GGA-PBEsol, optimized geometry)
# Volume ... 21.7 Å³/atom
# Density of states at the Fermi level ... 1.15 states/eV per cell
# E_form (uncorrected) ... -0.56 eV/atom
data_BaBPCl2
_cell_length_a 3.608
_cell_length_b 5.481
_cell_length_c 5.481
_cell_angle_alpha 90.00
_cell_angle_beta 90.00
_cell_angle_gamma 90.00
_symmetry_space_group_name_H-M 'P 1'
_symmetry_Int_Tables_number 1
_symmetry_space_group_name_Hall 'P 1'
loop_
_atom_site_label
_atom_site_type_symbol
_atom_site_fract_x
_atom_site_fract_y
_atom_site_fract_z
_atom_site_occupancy
B1 B 0.000 0.000 0.000 1
Cl1 Cl 0.000 0.500 0.000 1
Cl2 Cl 0.000 0.000 0.500 1
Ba1 Ba 0.500 0.500 0.500 1
P1 P 0.500 0.000 0.000 1